First-principles (PBE+U) data for crystalline FeWO2F at its relaxed geometry, as listed in Alexandria via LeMat-Bulk.

## Properties
Electronic total energy: -0.209 hartree per atom
V: 69.2 Å³/cell

Cell: 4.0570 4.0570 4.2024 Å, 90.00 90.00 90.00°
Space group P4/mmm (No. 123)
Inequivalent atoms, fractional coordinates:
Fe (0.0000, 0.0000, 0.0000) x1
W (0.5000, 0.5000, 0.5000) x1
O (0.0000, 0.5000, 0.5000) x2
F (0.5000, 0.5000, 0.0000) x1